Entry 1:
Below is KTcAu2 after structural relaxation, with properties calculated at the GGA-PBE level.

Lattice parameters (Å, degrees): 10.7069 10.7069 10.7069 15.70 15.70 15.70
Atoms (fractional coordinates):
K 0.0000 0.0000 0.0000
Tc 0.7599 0.7599 0.7599
Au 0.2424 0.2424 0.2424
Au 0.4971 0.4971 0.4971

Output
- Energy relative to the elements: 0.63 eV per atom
- Crystal system: trigonal
- Total magnetization: 0.5 μB/cell
- Fermi-level density of states: 4.4 states/eV per cell

***

Entry 2:
Below is KTcAu2 after structural relaxation, with properties calculated at the GGA-PBE level.

Lattice parameters (Å, degrees): 10.4439 10.4439 10.4439 16.24 16.24 16.24
Atoms (fractional coordinates):
K 0.0000 0.0000 0.0000
Tc 0.5000 0.5000 0.5000
Au 0.2402 0.2402 0.2402
Au 0.7598 0.7598 0.7598

Output
- Energy relative to the elements: 0.53 eV per atom
- Crystal system: trigonal
- Total magnetization: 0.5 μB/cell
- Fermi-level density of states: 4.7 states/eV per cell

***

Entry 3:
Below is KTcAu2 after structural relaxation, with properties calculated at the GGA-PBE level.

Lattice parameters (Å, degrees): 4.9603 4.9603 4.9603 60.00 60.00 60.00
Atoms (fractional coordinates):
K 0.0000 0.0000 0.0000
Tc 0.5000 0.5000 0.5000
Au 0.2500 0.2500 0.2500
Au 0.7500 0.7500 0.7500

Output
- Energy relative to the elements: 0.75 eV per atom
- Crystal system: cubic
- Total magnetization: 3.4 μB/cell
- Fermi-level density of states: 2.5 states/eV per cell

***

Entry 4:
Below is KTc4Au after structural relaxation, with properties calculated at the GGA-PBE level.

Lattice parameters (Å, degrees): 5.3112 5.3112 5.3112 60.00 60.00 60.00
Atoms (fractional coordinates):
K 0.0000 0.0000 0.0000
Tc 0.1253 0.6249 0.6249
Tc 0.6249 0.1253 0.6249
Tc 0.6249 0.6249 0.1253
Tc 0.6249 0.6249 0.6249
Au 0.2500 0.2500 0.2500

Output
- Energy relative to the elements: 0.95 eV per atom
- Crystal system: cubic
- Total magnetization: 0.0 μB/cell
- Fermi-level density of states: 7.0 states/eV per cell

***

Entry 5:
Below is KTcAu4 after structural relaxation, with properties calculated at the GGA-PBE level.

Lattice parameters (Å, degrees): 5.6319 5.6319 5.6319 60.00 60.00 60.00
Atoms (fractional coordinates):
K 0.0000 0.0000 0.0000
Tc 0.7500 0.7500 0.7500
Au 0.3753 0.3753 0.3753
Au 0.3753 0.3753 0.8742
Au 0.3753 0.8742 0.3753
Au 0.8742 0.3753 0.3753

Output
- Energy relative to the elements: 0.41 eV per atom
- Crystal system: cubic
- Total magnetization: 4.1 μB/cell
- Fermi-level density of states: 4.1 states/eV per cell

***

Entry 6:
Below is KTcAu2 after structural relaxation, with properties calculated at the GGA-PBE level.

Lattice parameters (Å, degrees): 9.9144 9.9144 9.9144 148.43 148.43 45.24
Atoms (fractional coordinates):
K 0.3750 0.6250 0.7500
K 0.6250 0.3750 0.2500
Tc 0.1250 0.8750 0.2500
Tc 0.8750 0.1250 0.7500
Au 0.0000 0.0000 0.0000
Au 0.0000 0.0000 0.5000
Au 0.0000 0.5000 0.0000
Au 0.5000 0.0000 0.5000

Output
- Energy relative to the elements: 0.72 eV per atom
- Crystal system: tetragonal
- Total magnetization: 7.2 μB/cell
- Fermi-level density of states: 5.5 states/eV per cell

***

Entry 7:
Below is KTc3Au after structural relaxation, with properties calculated at the GGA-PBE level.

Lattice parameters (Å, degrees): 4.4870 4.4870 4.4870 90.00 90.00 90.00
Atoms (fractional coordinates):
K 0.0000 0.0000 0.0000
Tc 0.0000 0.0000 0.5000
Tc 0.0000 0.5000 0.0000
Tc 0.5000 0.0000 0.0000
Au 0.5000 0.5000 0.5000

Output
- Energy relative to the elements: 3.01 eV per atom
- Crystal system: cubic
- Total magnetization: 0.0 μB/cell
- Fermi-level density of states: 7.3 states/eV per cell

***

Entry 8:
Below is KTcAu2 after structural relaxation, with properties calculated at the GGA-PBE level.

Lattice parameters (Å, degrees): 5.3588 5.3588 2.7412 90.00 90.00 90.18
Atoms (fractional coordinates):
K 0.0000 0.0000 0.0000
Tc 0.5000 0.5000 0.0000
Au 0.0000 0.5000 0.5000
Au 0.5000 0.0000 0.5000

Output
- Energy relative to the elements: 0.42 eV per atom
- Crystal system: orthorhombic
- Total magnetization: 0.9 μB/cell
- Fermi-level density of states: 2.1 states/eV per cell

***

Entry 9:
Below is K3TeAu after structural relaxation, with properties calculated at the GGA-PBE level.

Lattice parameters (Å, degrees): 9.1186 8.1047 11.6914 90.00 108.69 90.00
Atoms (fractional coordinates):
K 0.0006 0.0012 0.2499
K 0.0006 0.4988 0.7499
K 0.3315 0.5111 0.5826
K 0.3317 0.5118 0.0832
K 0.3317 0.9882 0.5832
K 0.3315 0.9889 0.0826
K 0.6685 0.0111 0.9174
K 0.6683 0.0118 0.4168
K 0.6683 0.4882 0.9168
K 0.6685 0.4889 0.4174
K 0.9994 0.5012 0.2501
K 0.9994 0.9988 0.7501
Te 0.3408 0.7504 0.3352
Te 0.3408 0.7496 0.8352
Te 0.6592 0.2504 0.1648
Te 0.6592 0.2496 0.6648
Au 0.0267 0.2492 0.5067
Au 0.0267 0.2508 0.0067
Au 0.9733 0.7492 0.9933
Au 0.9733 0.7508 0.4933

Output
- Crystal system: monoclinic
- Total magnetization: 0.0 μB/cell
- Formation energy from raw total energies: -0.71 eV per atom
- Fermi-level density of states: 0.0 states/eV per cell

***

Entry 10:
Below is K2TeAu after structural relaxation, with properties calculated at the GGA-PBE level.

Lattice parameters (Å, degrees): 4.9509 4.9509 9.0398 96.48 96.48 39.48
Atoms (fractional coordinates):
K 0.2498 0.2498 0.2505
K 0.7502 0.7502 0.7495
Te 0.0000 0.0000 0.5000
Au 0.5000 0.5000 0.0000

Output
- Crystal system: monoclinic
- Total magnetization: 0.0 μB/cell
- Formation energy from raw total energies: -0.44 eV per atom
- Fermi-level density of states: 2.6 states/eV per cell

***

Entry 11:
Below is K4TeAu after structural relaxation, with properties calculated at the GGA-PBE level.

Lattice parameters (Å, degrees): 6.8565 6.8565 6.8565 60.00 60.00 60.00
Atoms (fractional coordinates):
K 0.1245 0.1245 0.1245
K 0.1245 0.1245 0.6265
K 0.1245 0.6265 0.1245
K 0.6265 0.1245 0.1245
Te 0.7500 0.7500 0.7500
Au 0.5000 0.5000 0.5000

Output
- Crystal system: cubic
- Total magnetization: 0.5 μB/cell
- Formation energy from raw total energies: -0.06 eV per atom
- Fermi-level density of states: 2.5 states/eV per cell

***

Entry 12:
Below is KTeAu4 after structural relaxation, with properties calculated at the GGA-PBE level.

Lattice parameters (Å, degrees): 5.7441 5.7441 5.7441 60.00 60.00 60.00
Atoms (fractional coordinates):
K 0.0000 0.0000 0.0000
Te 0.7500 0.7500 0.7500
Au 0.3745 0.3745 0.3745
Au 0.3745 0.3745 0.8764
Au 0.3745 0.8764 0.3745
Au 0.8764 0.3745 0.3745

Output
- Crystal system: cubic
- Total magnetization: 0.0 μB/cell
- Formation energy from raw total energies: -0.14 eV per atom
- Fermi-level density of states: 3.1 states/eV per cell

***

Entry 13:
Below is K2TeAu after structural relaxation, with properties calculated at the GGA-PBE level.

Lattice parameters (Å, degrees): 6.2369 6.2369 3.3596 90.00 90.00 90.00
Atoms (fractional coordinates):
K 0.0000 0.5000 0.0000
K 0.5000 0.0000 0.0000
Te 0.0000 0.0000 0.5000
Au 0.5000 0.5000 0.5000

Output
- Crystal system: tetragonal
- Total magnetization: 0.0 μB/cell
- Formation energy from raw total energies: -0.52 eV per atom
- Fermi-level density of states: 2.2 states/eV per cell

***

Entry 14:
Below is KTeAu after structural relaxation, with properties calculated at the GGA-PBE level.

Lattice parameters (Å, degrees): 4.7456 4.7456 5.0517 90.00 90.00 120.00
Atoms (fractional coordinates):
K 0.0000 0.0000 0.0000
Te 0.6667 0.3333 0.5000
Au 0.3333 0.6667 0.5000

Output
- Crystal system: hexagonal
- Total magnetization: 0.0 μB/cell
- Formation energy from raw total energies: -0.68 eV per atom
- Fermi-level density of states: 0.2 states/eV per cell